Record 1
Pm3Ho5, optimized geometry, DFT GGA-PBE; DOS(E_F) = 1.325 states/eV per atom; SG = Cmmm, No. 65; E above lowest polymorph = 0 meV per atom; E_form = 0.0176 eV/atom
1.0
5.0402 -5.0602 0.0000
5.0402 5.0602 0.0000
0.0000 0.0000 5.0480
Pm Ho
3 5
Cartesian
0.0000 0.0000 0.0000
5.0402 2.5137 2.5240
5.0402 -2.5137 2.5240
2.5201 2.5301 0.0000
2.5277 0.0000 2.5240
2.5201 -2.5301 0.0000
5.0402 0.0000 0.0000
7.5528 0.0000 2.5240

=====

Record 2
LuAlRu, optimized geometry, DFT GGA-PBE; DOS(E_F) = 0.104 states/eV per atom; SG = I4mm, No. 107; E_form = -0.5745 eV/atom
1.0
-1.6350 1.6350 5.0614
1.6350 -1.6350 5.0614
1.6350 1.6350 -5.0614
Lu Al Ru
1 1 1
Cartesian
0.0000 0.0000 0.0000
0.0000 0.0000 2.9447
0.0000 0.0000 6.8315

=====

Record 3
Dy6BiRu2, optimized geometry, DFT GGA-PBE; DOS(E_F) = 0.935 states/eV per atom; SG = C2/m, No. 12; E above lowest polymorph = 102 meV per atom; E_form = -0.3271 eV/atom
1.0
5.1778 -2.4365 0.0000
5.1778 2.4365 0.0000
-1.6921 0.0000 9.5530
Dy Bi Ru
6 1 2
Cartesian
-0.2760 0.0000 3.2179
1.7679 0.0000 6.1449
3.2732 0.0000 1.1547
5.3902 0.0000 8.3983
6.8955 0.0000 3.4081
8.9394 0.0000 6.3350
0.0000 0.0000 0.0000
3.4098 0.0000 3.8472
5.2536 0.0000 5.7058